A plane-wave DFT calculation with PBE-GGA was carried out for crystalline TbSm2Sb3Rh4 at its relaxed geometry.

Output
E_form (uncorrected)	-0.844	eV/atom
symmetry	P-4m2, No. 115
electronic total energy	-64.3	eV/f.u.
calculated density	9.3	g/cm3

a = 4.3696 Å, b = 4.3696 Å, c = 11.5210 Å
α = 90.00°, β = 90.00°, γ = 90.00°
With the nearest neighbours (Å) after each atom.
Sites, in units of the cell vectors:
1 Tb 0.0000 0.0000 0.0000  4 Rh 2.76, 4 Sb 3.09
2 Sm 0.0000 0.5000 0.7234  4 Sb 3.27, 8 Rh 3.38-3.43
3 Sm 0.5000 0.0000 0.2766  4 Sb 3.27, 8 Rh 3.38-3.43
4 Sb 0.0000 0.5000 0.3686  5 Rh 2.56-2.66
5 Sb 0.5000 0.0000 0.6314  5 Rh 2.56-2.66
6 Sb 0.5000 0.5000 0.0000  4 Rh 2.76, 4 Tb 3.09
7 Rh 0.0000 0.0000 0.5000  4 Sb 2.66
8 Rh 0.0000 0.5000 0.1467  3 Sb 2.56-2.76, 2 Tb 2.76
9 Rh 0.5000 0.0000 0.8533  3 Sb 2.56-2.76, 2 Tb 2.76
10 Rh 0.5000 0.5000 0.5000  4 Sb 2.66

A plane-wave DFT calculation with PBE-GGA was carried out for crystalline CrCo2Mo at its relaxed geometry.

Output
symmetry	I-42d, No. 122
polymorph energy (0 for the lowest one)	614.8	meV/atom
electronic total energy	-32.1	eV/f.u.
formation energy	0.65	eV/atom
calculated density	8.5	g/cm3

a = 8.7101 Å, b = 8.7101 Å, c = 8.7101 Å
α = 156.58°, β = 156.58°, γ = 33.36°
With the nearest neighbours (Å) after each atom.
Sites, in units of the cell vectors:
1 Cr 0.0000 0.0000 0.0000  4 Co 2.41, 4 Mo 2.50
2 Cr 0.7500 0.2500 0.5000  4 Co 2.41, 4 Mo 2.50
3 Co 0.1037 0.6250 0.9787  4 Co 2.40-2.61, 2 Cr 2.41, 2 Mo 2.46
4 Co 0.3750 0.3537 0.4787  4 Co 2.40-2.61, 2 Cr 2.41, 2 Mo 2.46
5 Co 0.6463 0.1250 0.0213  4 Co 2.40-2.61, 2 Cr 2.41, 2 Mo 2.46
6 Co 0.8750 0.8963 0.5213  4 Co 2.40-2.61, 2 Cr 2.41, 2 Mo 2.46
7 Mo 0.2500 0.7500 0.5000  4 Co 2.46, 4 Cr 2.50
8 Mo 0.5000 0.5000 0.0000  4 Co 2.46, 4 Cr 2.50

A plane-wave DFT calculation with PBE-GGA was carried out for crystalline NbZn2Re at its relaxed geometry.

Output
symmetry	Fm-3m, No. 225
polymorph energy (0 for the lowest one)	0.0	meV/atom
electronic total energy	-23.9	eV/f.u.
formation energy	0.28	eV/atom
calculated density	11.3	g/cm3

a = 4.4013 Å, b = 4.4013 Å, c = 4.4013 Å
α = 60.00°, β = 60.00°, γ = 60.00°
With the nearest neighbours (Å) after each atom.
Sites, in units of the cell vectors:
1 Nb 0.0000 0.0000 0.0000  8 Zn 2.70
2 Zn 0.2500 0.2500 0.2500  4 Nb 2.70, 4 Re 2.70
3 Zn 0.7500 0.7500 0.7500  4 Nb 2.70, 4 Re 2.70
4 Re 0.5000 0.5000 0.5000  8 Zn 2.70

A plane-wave DFT calculation with PBE-GGA was carried out for crystalline ZrMoIr2Ru at its relaxed geometry.

Output
symmetry	P4/mmm, No. 123
electronic total energy	-39.1	eV/f.u.
formation energy	1.45	eV/atom
calculated density	10.6	g/cm3

a = 4.6842 Å, b = 4.6842 Å, c = 4.8119 Å
α = 90.00°, β = 90.00°, γ = 90.00°
With the nearest neighbours (Å) after each atom.
Sites, in units of the cell vectors:
1 Zr 0.0000 0.0000 0.0000  2 Ru 2.41
2 Mo 0.5000 0.5000 0.0000  4 Zr 3.31, 8 Ir 3.36
3 Ir 0.0000 0.5000 0.5000  2 Ru 2.34
4 Ir 0.5000 0.0000 0.5000  2 Ru 2.34
5 Ru 0.0000 0.0000 0.5000  4 Ir 2.34, 2 Zr 2.41

A plane-wave DFT calculation with PBE-GGA was carried out for crystalline Lu2RePb at its relaxed geometry.

Output
symmetry	P4/mmm, No. 123
electronic total energy	-25.8	eV/f.u.
formation energy	-0.15	eV/atom
calculated density	13.3	g/cm3

a = 3.4855 Å, b = 3.4855 Å, c = 7.6120 Å
α = 90.00°, β = 90.00°, γ = 90.00°
With the nearest neighbours (Å) after each atom.
Sites, in units of the cell vectors:
1 Lu 0.0000 0.0000 0.2084  4 Re 2.93, 1 Lu 3.17
2 Lu 0.0000 0.0000 0.7916  4 Re 2.93, 1 Lu 3.17
3 Re 0.5000 0.5000 0.0000  8 Lu 2.93
4 Pb 0.5000 0.5000 0.5000  8 Lu 3.32, 4 Pb 3.49

A plane-wave DFT calculation with PBE-GGA was carried out for crystalline PrGa2Rh at its relaxed geometry.

Output
symmetry	R-3m, No. 166
electronic total energy	-21.0	eV/f.u.
formation energy	-0.70	eV/atom
calculated density	7.7	g/cm3

a = 5.8214 Å, b = 5.8214 Å, c = 5.8214 Å
α = 42.85°, β = 42.85°, γ = 42.85°
With the nearest neighbours (Å) after each atom.
Sites, in units of the cell vectors:
1 Pr 0.0000 0.0000 0.0000  8 Ga 3.11-3.36
2 Ga 0.2124 0.2124 0.2124  3 Rh 2.56, 3 Ga 2.85
3 Ga 0.7876 0.7876 0.7876  3 Rh 2.56, 3 Ga 2.85
4 Rh 0.5000 0.5000 0.5000  6 Ga 2.56

A plane-wave DFT calculation with PBE-GGA was carried out for crystalline ZnCd2Os at its relaxed geometry.

Output
symmetry	Cm, No. 8
electronic total energy	-12.8	eV/f.u.
formation energy	0.37	eV/atom
calculated density	11.1	g/cm3

a = 5.4549 Å, b = 5.4549 Å, c = 5.0079 Å
α = 103.95°, β = 103.95°, γ = 29.80°
With the nearest neighbours (Å) after each atom.
Sites, in units of the cell vectors:
1 Zn 0.0000 0.0000 0.0000  2 Os 2.60, 2 Zn 2.81, 1 Cd 2.85
2 Cd 0.5611 0.5611 0.5336  3 Cd 2.81-3.11, 3 Os 2.92-2.93, 4 Zn 2.93-2.94
3 Cd 0.7623 0.7623 0.1726  3 Cd 2.81-3.11, 3 Zn 2.85-3.03, 4 Os 2.88-2.94
4 Os 0.3117 0.3117 0.6914  2 Zn 2.60, 2 Os 2.81, 2 Cd 2.88

A plane-wave DFT calculation with PBE-GGA was carried out for crystalline AgGeS at its relaxed geometry.

Output
E_form (uncorrected)	-0.029	eV/atom
symmetry	P2_12_12_1, No. 19
electronic total energy	-11.7	eV/f.u.
calculated density	5.6	g/cm3

a = 3.4688 Å, b = 8.0495 Å, c = 9.0929 Å
α = 90.00°, β = 90.00°, γ = 90.00°
With the nearest neighbours (Å) after each atom.
Sites, in units of the cell vectors:
1 Ag 0.0414 0.0108 0.4893  1 S 2.55, 1 Ge 2.63
2 Ag 0.4586 0.9892 0.9893  1 S 2.55, 1 Ge 2.63
3 Ag 0.5414 0.4892 0.5107  1 S 2.55, 1 Ge 2.63
4 Ag 0.9586 0.5108 0.0107  1 S 2.55, 1 Ge 2.63
5 Ge 0.0312 0.7329 0.6424  2 S 2.38-2.40, 1 Ag 2.63
6 Ge 0.4688 0.2671 0.1424  2 S 2.38-2.40, 1 Ag 2.63
7 Ge 0.5312 0.7671 0.3576  2 S 2.38-2.40, 1 Ag 2.63
8 Ge 0.9688 0.2329 0.8576  2 S 2.38-2.40, 1 Ag 2.63
9 S 0.0290 0.7638 0.1768  2 Ge 2.38-2.40, 1 Ag 2.55
10 S 0.4710 0.2362 0.6768  2 Ge 2.38-2.40, 1 Ag 2.55
11 S 0.5290 0.7362 0.8232  2 Ge 2.38-2.40, 1 Ag 2.55
12 S 0.9710 0.2638 0.3232  2 Ge 2.38-2.40, 1 Ag 2.55

A plane-wave DFT calculation with PBE-GGA was carried out for crystalline Zr5Ga2Hg at its relaxed geometry.

Output
symmetry	I4/mcm, No. 140
electronic total energy	-51.9	eV/f.u.
formation energy	-0.35	eV/atom
calculated density	7.8	g/cm3

a = 8.1506 Å, b = 8.1506 Å, c = 8.1506 Å
α = 126.62°, β = 126.62°, γ = 78.87°
With the nearest neighbours (Å) after each atom.
Sites, in units of the cell vectors:
1 Zr 0.0000 0.0000 0.0000  4 Ga 2.84, 2 Hg 3.15
2 Zr 0.0077 0.5077 0.8160  3 Ga 2.84-2.88, 2 Hg 3.03, 1 Zr 3.15
3 Zr 0.1916 0.0077 0.5000  3 Ga 2.84-2.88, 2 Hg 3.03, 1 Zr 3.15
4 Zr 0.3084 0.8084 0.8160  3 Ga 2.84-2.88, 2 Hg 3.03, 1 Zr 3.15
5 Zr 0.4923 0.3084 0.5000  3 Ga 2.84-2.88, 2 Hg 3.03, 1 Zr 3.15
6 Zr 0.5000 0.5000 0.0000  4 Ga 2.84, 2 Hg 3.15
7 Zr 0.5077 0.6916 0.5000  3 Ga 2.84-2.88, 2 Hg 3.03, 1 Zr 3.15
8 Zr 0.6916 0.1916 0.1840  3 Ga 2.84-2.88, 2 Hg 3.03, 1 Zr 3.15
9 Zr 0.8084 0.9923 0.5000  3 Ga 2.84-2.88, 2 Hg 3.03, 1 Zr 3.15
10 Zr 0.9923 0.4923 0.1840  3 Ga 2.84-2.88, 2 Hg 3.03, 1 Zr 3.15
11 Ga 0.1374 0.3626 0.5000  8 Zr 2.84-2.88, 1 Ga 2.85
12 Ga 0.3626 0.8626 0.2252  8 Zr 2.84-2.88, 1 Ga 2.85
13 Ga 0.6374 0.1374 0.7748  8 Zr 2.84-2.88, 1 Ga 2.85
14 Ga 0.8626 0.6374 0.5000  8 Zr 2.84-2.88, 1 Ga 2.85
15 Hg 0.2500 0.2500 0.0000  10 Zr 3.03-3.15
16 Hg 0.7500 0.7500 0.0000  10 Zr 3.03-3.15

A plane-wave DFT calculation with PBE-GGA was carried out for crystalline TeRuSN2 at its relaxed geometry.

Output
E_form (uncorrected)	1.815	eV/atom
symmetry	P4/mmm, No. 123
polymorph energy (0 for the lowest one)	1052.6	meV/atom
electronic total energy	-24.1	eV/f.u.
calculated density	5.8	g/cm3

a = 3.8825 Å, b = 3.8825 Å, c = 5.5040 Å
α = 90.00°, β = 90.00°, γ = 90.00°
With the nearest neighbours (Å) after each atom.
Sites, in units of the cell vectors:
1 Te 0.0000 0.0000 0.0000  4 N 1.94
2 Ru 0.5000 0.5000 0.5000  4 S 2.75
3 S 0.0000 0.0000 0.5000  4 Ru 2.75, 2 Te 2.75
4 N 0.0000 0.5000 0.0000  2 Te 1.94
5 N 0.5000 0.0000 0.0000  2 Te 1.94

A plane-wave DFT calculation with PBE-GGA was carried out for crystalline Nd6SbTe3S2 at its relaxed geometry.

Output
E_form (uncorrected)	-1.587	eV/atom
symmetry	C2/m, No. 12
electronic total energy	-69.4	eV/f.u.
calculated density	6.7	g/cm3

a = 7.4761 Å, b = 7.4761 Å, c = 7.7166 Å
α = 99.33°, β = 99.33°, γ = 119.95°
With the nearest neighbours (Å) after each atom.
Sites, in units of the cell vectors:
1 Nd 0.0736 0.4259 0.7804  2 S 2.89-2.90, 1 Sb 3.09, 1 Te 3.18
2 Nd 0.2172 0.2172 0.2134  2 S 2.89, 1 Sb 3.07, 1 Te 3.14
3 Nd 0.4259 0.0736 0.7804  2 S 2.89-2.90, 1 Sb 3.09, 1 Te 3.18
4 Nd 0.5741 0.9264 0.2196  2 S 2.89-2.90, 1 Sb 3.09, 1 Te 3.18
5 Nd 0.7828 0.7828 0.7866  2 S 2.89, 1 Sb 3.07, 1 Te 3.14
6 Nd 0.9264 0.5741 0.2196  2 S 2.89-2.90, 1 Sb 3.09, 1 Te 3.18
7 Sb 0.5000 0.5000 0.0000  6 Nd 3.07-3.09
8 Te 0.0000 0.0000 0.5000  6 Nd 3.14-3.28
9 Te 0.3408 0.6592 0.5000  6 Nd 3.18-3.30
10 Te 0.6592 0.3408 0.5000  6 Nd 3.18-3.30
11 S 0.1682 0.8318 0.0000  6 Nd 2.89-2.90
12 S 0.8318 0.1682 0.0000  6 Nd 2.89-2.90

A plane-wave DFT calculation with PBE-GGA was carried out for crystalline KRb2Cl at its relaxed geometry.

Output
E_form (uncorrected)	-0.927	eV/atom
symmetry	R3m, No. 160
polymorph energy (0 for the lowest one)	0.0	meV/atom
electronic total energy	-8.6	eV/f.u.
calculated density	1.7	g/cm3

a = 12.4492 Å, b = 12.4492 Å, c = 12.4492 Å
α = 22.05°, β = 22.05°, γ = 22.05°
With the nearest neighbours (Å) after each atom.
Sites, in units of the cell vectors:
1 K 0.0000 0.0000 0.0000  6 K 4.76, 6 Rb 4.94-4.95
2 Rb 0.2207 0.2207 0.2207  3 Cl 3.37
3 Rb 0.4464 0.4464 0.4464  3 Cl 3.38
4 Cl 0.8337 0.8337 0.8337  6 Rb 3.37-3.38

- electronic total energy of number 3 (NbZn2Re)?
  -23.9 eV/f.u.